Entry 1:
Tb3Cu5S12 after structural relaxation. Source: Alexandria, functional PBE.

Unit cell a=12.735 b=12.735 c=12.735 alpha=109.47 beta=109.47 gamma=109.47
Fractional coordinates of all 80 atoms:
Tb  0.125  0.250  0.375
Tb  0.125  0.375  0.750
Tb  0.250  0.375  0.125
Tb  0.250  0.875  0.625
Tb  0.375  0.125  0.250
Tb  0.375  0.750  0.125
Tb  0.625  0.250  0.875
Tb  0.625  0.875  0.750
Tb  0.750  0.125  0.375
Tb  0.750  0.625  0.875
Tb  0.875  0.625  0.250
Tb  0.875  0.750  0.625
Cu  0.000  0.000  0.000
Cu  0.000  0.000  0.500
Cu  0.000  0.500  0.000
Cu  0.000  0.500  0.500
Cu  0.125  0.750  0.875
Cu  0.125  0.875  0.250
Cu  0.250  0.125  0.875
Cu  0.250  0.625  0.375
Cu  0.375  0.250  0.625
Cu  0.375  0.625  0.750
Cu  0.500  0.000  0.000
Cu  0.500  0.000  0.500
Cu  0.500  0.500  0.000
Cu  0.500  0.500  0.500
Cu  0.625  0.375  0.250
Cu  0.625  0.750  0.375
Cu  0.750  0.375  0.625
Cu  0.750  0.875  0.125
Cu  0.875  0.125  0.750
Cu  0.875  0.250  0.125
S  0.030  0.205  0.122
S  0.030  0.325  0.908
S  0.083  0.705  0.675
S  0.083  0.878  0.408
S  0.092  0.622  0.417
S  0.092  0.970  0.675
S  0.122  0.030  0.205
S  0.122  0.592  0.917
S  0.175  0.205  0.583
S  0.175  0.470  0.592
S  0.205  0.122  0.030
S  0.205  0.583  0.175
S  0.295  0.325  0.917
S  0.295  0.470  0.378
S  0.325  0.908  0.030
S  0.325  0.917  0.295
S  0.378  0.295  0.470
S  0.378  0.583  0.908
S  0.408  0.083  0.878
S  0.408  0.825  0.530
S  0.417  0.092  0.622
S  0.417  0.825  0.795
S  0.470  0.378  0.295
S  0.470  0.592  0.175
S  0.530  0.408  0.825
S  0.530  0.622  0.705
S  0.583  0.175  0.205
S  0.583  0.908  0.378
S  0.592  0.175  0.470
S  0.592  0.917  0.122
S  0.622  0.417  0.092
S  0.622  0.705  0.530
S  0.675  0.083  0.705
S  0.675  0.092  0.970
S  0.705  0.530  0.622
S  0.705  0.675  0.083
S  0.795  0.417  0.825
S  0.795  0.878  0.970
S  0.825  0.530  0.408
S  0.825  0.795  0.417
S  0.878  0.408  0.083
S  0.878  0.970  0.795
S  0.908  0.030  0.325
S  0.908  0.378  0.583
S  0.917  0.122  0.592
S  0.917  0.295  0.325
S  0.970  0.675  0.092
S  0.970  0.795  0.878

Output
E_tot, eV per atom: -4.881
Raw formation energy, kcal/mol of atoms: -15.8



Entry 2:
Li2CoW after structural relaxation. Source: Alexandria, functional PBE.

Unit cell a=2.596 b=3.906 c=5.628 alpha=90.00 beta=102.94 gamma=90.00
Fractional coordinates of all 4 atoms:
Li  0.000  0.000  0.000
Li  0.453  0.500  0.791
Co  0.179  0.000  0.492
W  0.625  0.500  0.327

Output
E_tot, eV per atom: -5.657
E_form, eV/f.u.: 1.3



Entry 3:
K2HgPb6 after structural relaxation. Source: Alexandria, functional PBE.

Unit cell a=7.333 b=7.333 c=7.654 alpha=103.97 beta=103.97 gamma=55.16
Fractional coordinates of all 9 atoms:
K  0.135  0.135  0.357
K  0.865  0.865  0.643
Hg  0.500  0.500  0.500
Pb  0.098  0.610  0.174
Pb  0.383  0.383  0.839
Pb  0.390  0.902  0.826
Pb  0.610  0.098  0.174
Pb  0.617  0.617  0.161
Pb  0.902  0.390  0.826

Output
E_tot, eV per atom: -2.842
E_form, eV/f.u.: -0.8



Entry 4:
Gd2ScAg after structural relaxation. Source: Alexandria, functional PBE.

Unit cell a=5.298 b=5.298 c=5.298 alpha=60.00 beta=60.00 gamma=60.00
Fractional coordinates of all 4 atoms:
Gd  0.250  0.250  0.250
Gd  0.750  0.750  0.750
Sc  0.000  0.000  0.000
Ag  0.500  0.500  0.500

Output
E_tot, eV per atom: -9.308
E_form, eV/f.u.: 0.1



Entry 5:
HgH2Se after structural relaxation. Source: Alexandria, functional PBE.

Unit cell a=4.268 b=4.268 c=4.781 alpha=119.05 beta=119.05 gamma=84.58
Fractional coordinates of all 4 atoms:
Hg  0.000  0.000  0.000
H  0.254  0.254  0.510
H  0.746  0.746  0.490
Se  0.500  0.500  0.000

Output
E_tot, eV per atom: -2.368



Entry 6:
CrIrOs2 after structural relaxation. Source: Alexandria, functional PBE.

Unit cell a=4.335 b=4.335 c=4.335 alpha=60.00 beta=60.00 gamma=60.00
Fractional coordinates of all 4 atoms:
Cr  0.000  0.000  0.000
Ir  0.750  0.750  0.750
Os  0.250  0.250  0.250
Os  0.500  0.500  0.500

Output
E_tot, eV per atom: -9.712
E_form, eV/f.u.: 2.1



Entry 7:
Cd5Pd8Au after structural relaxation. Source: Alexandria, functional PBE.

Unit cell a=6.921 b=6.921 c=6.921 alpha=109.83 beta=109.83 gamma=108.75
Fractional coordinates of all 14 atoms:
Cd  0.000  0.000  0.000
Cd  0.279  0.620  0.095
Cd  0.380  0.475  0.659
Cd  0.525  0.184  0.905
Cd  0.816  0.721  0.341
Pd  0.011  0.415  0.269
Pd  0.090  0.163  0.725
Pd  0.146  0.741  0.731
Pd  0.259  0.989  0.404
Pd  0.439  0.365  0.275
Pd  0.585  0.854  0.596
Pd  0.635  0.910  0.073
Pd  0.837  0.561  0.927
Au  0.750  0.250  0.500

Output
E_tot, eV per atom: -3.700
E_form, eV/f.u.: -2.4